# 1
This record from the Alexandria database describes BaLa2W after structural relaxation. The functional is PBE-GGA.

Cell: 11.3484 11.3484 11.3484 Å, 19.34 19.34 19.34°
Last column: nearest neighbours and their distance in Å.
Positions (direct):
W 0.2500 0.2500 0.2500  6 La 3.00
La 0.9778 0.9778 0.9778  3 W 3.00
La 0.5222 0.5222 0.5222  3 W 3.00
Ba 0.7500 0.7500 0.7500  6 Ba 3.81, 6 La 4.16

# 2
This record from the Alexandria database describes Mg2Cu3Pd8 after structural relaxation. The functional is PBE-GGA.

Cell: 4.4298 6.7534 7.7026 Å, 116.01 90.00 90.00°
Last column: nearest neighbours and their distance in Å.
Positions (direct):
Pd 0.0000 0.1120 0.2239  4 Cu 2.61-2.70, 2 Mg 2.70
Pd 0.0000 0.6699 0.3398  2 Mg 2.66, 2 Cu 2.67, 4 Pd 2.75
Pd 0.0000 0.8880 0.7761  4 Cu 2.61-2.70, 2 Mg 2.70
Pd 0.5000 0.1950 0.7902  3 Cu 2.49-2.65, 2 Mg 2.61-2.73, 3 Pd 2.70-2.75
Pd 0.5000 0.4047 0.2099  3 Cu 2.49-2.65, 2 Mg 2.61-2.73, 3 Pd 2.70-2.75
Pd 0.5000 0.5953 0.7901  3 Cu 2.49-2.65, 2 Mg 2.61-2.73, 3 Pd 2.70-2.75
Pd 0.5000 0.8050 0.2098  3 Cu 2.49-2.65, 2 Mg 2.61-2.73, 3 Pd 2.70-2.75
Pd 0.0000 0.3301 0.6602  2 Mg 2.66, 2 Cu 2.67, 4 Pd 2.75
Mg 0.5000 0.7767 0.5532  8 Pd 2.61-2.73
Mg 0.5000 0.2233 0.4468  8 Pd 2.61-2.73
Cu 0.0000 0.6884 0.0000  1 Cu 2.55, 8 Pd 2.61-2.67
Cu 0.0000 0.3116 0.0000  1 Cu 2.55, 8 Pd 2.61-2.67
Cu 0.5000 0.0000 0.0000  8 Pd 2.49-2.70

# 3
This record from the Alexandria database describes NdYBeGa after structural relaxation. The functional is PBE-GGA.

Cell: 5.0473 5.0473 5.0473 Å, 60.00 60.00 60.00°
Last column: nearest neighbours and their distance in Å.
Positions (direct):
Y 0.0000 0.0000 0.0000  4 Ga 3.09, 4 Be 3.09
Nd 0.5000 0.5000 0.5000  4 Be 3.09, 4 Ga 3.09
Ga 0.7500 0.7500 0.7500  4 Nd 3.09, 4 Y 3.09
Be 0.2500 0.2500 0.2500  4 Y 3.09, 4 Nd 3.09

no.,calculated total energy (eV/f.u.),DOS(E_F) (states/eV/cell),total magnetization (μB per atom)
1,-22.06,5.04,0.00
2,-58.95,7.32,0.00
3,-18.81,3.74,0.00